Entry 1:
BaSn2Pb2 after structural relaxation. Source: Alexandria via LeMat-Bulk, functional GGA-PBEsol.

Lattice parameters (Å, degrees): 8.698 8.698 4.230 90.00 90.00 90.00
Sites, in units of the cell vectors:
Ba: 0.000 0.000 0.000
Ba: 0.500 0.500 0.000
Sn: 0.121 0.379 0.000
Sn: 0.379 0.879 0.000
Sn: 0.621 0.121 0.000
Sn: 0.879 0.621 0.000
Pb: 0.155 0.655 0.500
Pb: 0.345 0.155 0.500
Pb: 0.655 0.845 0.500
Pb: 0.845 0.345 0.500

The calculation puts the density of states at the Fermi level at 2.8 states/eV/cell. The calculation puts the theoretical density at 8.191 g/cm³. The relative energy among the computed polymorphs is 3.8 kJ/mol of atoms. Its calculated formation energy is -0.277 eV/atom.



Entry 2:
BaSn2Pb2 after structural relaxation. Source: Alexandria via LeMat-Bulk, functional GGA-PBEsol.

Lattice parameters (Å, degrees): 7.611 7.611 7.611 141.59 141.59 55.45
Sites, in units of the cell vectors:
Ba: 0.000 0.000 0.000
Sn: 0.394 0.394 0.000
Sn: 0.606 0.606 0.000
Pb: 0.250 0.750 0.500
Pb: 0.750 0.250 0.500

The calculation puts the density of states at the Fermi level at 1.8 states/eV/cell. The calculation puts the theoretical density at 7.757 g/cm³. The relative energy among the computed polymorphs is 0.0 kJ/mol of atoms. Its calculated formation energy is -0.316 eV/atom.



Entry 3:
Ba2Sn2Pb after structural relaxation. Source: Alexandria via LeMat-Bulk, functional GGA-PBEsol.

Lattice parameters (Å, degrees): 8.230 8.230 5.244 90.00 90.00 90.00
Sites, in units of the cell vectors:
Ba: 0.175 0.325 0.000
Ba: 0.325 0.825 0.000
Ba: 0.675 0.175 0.000
Ba: 0.825 0.675 0.000
Sn: 0.124 0.624 0.500
Sn: 0.376 0.124 0.500
Sn: 0.624 0.876 0.500
Sn: 0.876 0.376 0.500
Pb: 0.000 0.000 0.500
Pb: 0.500 0.500 0.500

The calculation puts the density of states at the Fermi level at 6.1 states/eV/cell. The calculation puts the theoretical density at 6.725 g/cm³. Its calculated formation energy is -0.584 eV/atom.